No. 1
A geometry-optimized PmEr3Ru3 structure, computed with PBE.

Cell lengths 9.5575, 9.5575, 5.8026 Å; angles 90.00, 90.00, 120.00 degrees
Closest atoms and distances in Å follow each position.
Space group R3m (No. 160, hexagonal axes)
Asymmetric unit:
Pm (0.0000, 0.0000, 0.0000) (multiplicity 3)  6 Ru 2.80-3.13
Er (0.1948, 0.3896, 0.2185) (multiplicity 9)  4 Ru 2.79-3.09
Ru (0.0006, 0.5003, 0.4114) (multiplicity 9)  4 Er 2.79-3.09, 1 Pm 2.80

D(E_F) = 9.0 states/eV/cell
Formation energy from the elements = -2.48 eV/f.u.
Calculated density = 10.31 g cm⁻³
Final energy = -146.2 eV per cell

No. 2
A geometry-optimized PmEr3Ru structure, computed with PBE.

Cell lengths 8.5946, 3.7999, 8.6104 Å; angles 90.00, 101.91, 90.00 degrees
Closest atoms and distances in Å follow each position.
Space group P2_1/m (No. 11)
Asymmetric unit:
Pm (0.0165, 0.2500, 0.1707) (multiplicity 2)  4 Pm 3.46-3.80, 8 Er 3.52-3.76, 1 Ru 3.83
Er (0.1841, 0.2500, 0.5802) (multiplicity 2)  2 Ru 2.83
Er (0.3358, 0.2500, 0.9711) (multiplicity 2)  3 Ru 2.88-2.98
Er (0.3911, 0.7500, 0.3371) (multiplicity 2)  2 Ru 2.78
Ru (0.4023, 0.7500, 0.7419) (multiplicity 2)  7 Er 2.78-2.98

D(E_F) = 8.4 states/eV/cell
Formation energy from the elements = -1.30 eV/f.u.
Calculated density = 9.03 g cm⁻³
Final energy = -58.0 eV per cell

No. 3
A geometry-optimized Pm3ErRu2 structure, computed with PBE.

Cell lengths 6.8059, 13.7023, 7.1957 Å; angles 90.00, 90.00, 90.00 degrees
Closest atoms and distances in Å follow each position.
Space group Ibam (No. 72)
Asymmetric unit:
Pm (0.0000, 0.0000, 0.2500) (multiplicity 4)  4 Ru 2.99
Pm (0.0000, 0.2671, 0.2500) (multiplicity 8)  4 Ru 2.93-2.99
Er (0.0000, 0.5000, 0.0000) (multiplicity 4)  2 Ru 2.62
Ru (0.2253, 0.1337, 0.0000) (multiplicity 8)  1 Er 2.62, 2 Pm 2.93

D(E_F) = 11.5 states/eV/cell
Formation energy from the elements = -0.97 eV/f.u.
Calculated density = 7.96 g cm⁻³
Final energy = -153.3 eV per cell

No. 4
A geometry-optimized PmErRu structure, computed with PBE.

Cell lengths 4.7347, 4.7347, 3.6507 Å; angles 90.00, 90.00, 120.00 degrees
Closest atoms and distances in Å follow each position.
Space group P3m1 (No. 156)
Asymmetric unit:
Pm (0.0000, 0.0000, 0.0000) (multiplicity 1)  3 Ru 2.96, 3 Er 3.20
Er (0.6667, 0.3333, 0.5466) (multiplicity 1)  3 Ru 2.87, 3 Pm 3.20
Ru (0.3333, 0.6667, 0.3096) (multiplicity 1)  3 Er 2.87, 3 Pm 2.96

D(E_F) = 1.9 states/eV/cell
Formation energy from the elements = -0.29 eV/f.u.
Calculated density = 9.68 g cm⁻³
Final energy = -18.9 eV per cell

No. 5
A geometry-optimized Pm3Er4Ru4 structure, computed with PBE.

Cell lengths 3.6287, 8.9672, 16.0820 Å; angles 90.00, 90.00, 90.00 degrees
Closest atoms and distances in Å follow each position.
Space group Immm (No. 71)
Asymmetric unit:
Pm (0.0000, 0.0000, 0.0000) (multiplicity 2)  4 Ru 3.03
Pm (0.0000, 0.5000, 0.0999) (multiplicity 4)  6 Ru 2.98-3.18, 1 Pm 3.21
Er (0.0000, 0.3110, 0.3337) (multiplicity 8)  4 Ru 2.77-3.08
Ru (0.0000, 0.0000, 0.2527) (multiplicity 4)  6 Er 2.85-3.08, 2 Pm 2.98
Ru (0.0000, 0.2288, 0.5000) (multiplicity 4)  2 Er 2.77, 2 Pm 3.03

D(E_F) = 12.2 states/eV/cell
Formation energy from the elements = -3.02 eV/f.u.
Calculated density = 9.57 g cm⁻³
Final energy = -145.3 eV per cell

No. 6
A geometry-optimized Pm2ErRu2 structure, computed with PBE.

Cell lengths 4.2583, 11.5096, 9.9920 Å; angles 90.00, 90.00, 90.00 degrees
Closest atoms and distances in Å follow each position.
Space group Cmc2_1 (No. 36)
Asymmetric unit:
Pm (0.0000, 0.0950, 0.0000) (multiplicity 4)  2 Ru 2.72-2.73
Pm (0.0000, 0.3532, 0.1855) (multiplicity 4)  4 Ru 2.83-2.91
Er (0.0000, 0.3552, 0.8156) (multiplicity 4)  4 Ru 2.75-2.82
Ru (0.0000, 0.0045, 0.2528) (multiplicity 4)  4 Pm 2.72-2.83, 2 Er 2.75
Ru (0.0000, 0.1892, 0.4933) (multiplicity 4)  2 Er 2.82, 2 Pm 2.91

D(E_F) = 11.3 states/eV/cell
Formation energy from the elements = -1.02 eV/f.u.
Calculated density = 8.94 g cm⁻³
Final energy = -134.5 eV per cell

No. 7
A geometry-optimized PmErRu structure, computed with PBE.

Cell lengths 3.4247, 3.4247, 13.1749 Å; angles 90.00, 90.00, 90.00 degrees
Closest atoms and distances in Å follow each position.
Space group I4mm (No. 107)
Asymmetric unit:
Pm (0.0000, 0.0000, 0.0000) (multiplicity 2)  4 Ru 2.99, 1 Er 3.33
Er (0.0000, 0.0000, 0.7471) (multiplicity 2)  4 Ru 2.89
Ru (0.0000, 0.0000, 0.3667) (multiplicity 2)  4 Er 2.89, 4 Pm 2.99

D(E_F) = 3.1 states/eV/cell
Formation energy from the elements = -0.85 eV/f.u.
Calculated density = 8.88 g cm⁻³
Final energy = -38.9 eV per cell

No. 8
A geometry-optimized PmEr3Ru2 structure, computed with PBE.

Cell lengths 3.4007, 3.4007, 12.3245 Å; angles 90.00, 90.00, 90.00 degrees
Closest atoms and distances in Å follow each position.
Space group P4/mmm (No. 123)
Asymmetric unit:
Pm (0.0000, 0.0000, 0.0000) (multiplicity 1)  4 Pm 3.40, 8 Er 3.73
Er (0.5000, 0.5000, 0.2314) (multiplicity 2)  4 Ru 2.87
Er (0.5000, 0.5000, 0.5000) (multiplicity 1)  8 Ru 2.97, 2 Er 3.31
Ru (0.0000, 0.0000, 0.3580) (multiplicity 2)  8 Er 2.87-2.97

D(E_F) = 4.5 states/eV/cell
Formation energy from the elements = -1.95 eV/f.u.
Calculated density = 9.89 g cm⁻³
Final energy = -38.9 eV per cell